# Co2SnBIr (PBE-GGA, optimized geometry)
data_Co2SnBIr
_chemical_formula_sum 'Co2 Sn1 B1 Ir1'
_symmetry_space_group_name_H-M 'P 4/m m m'
_symmetry_Int_Tables_number 123
_symmetry_space_group_name_Hall '-P 4 2'
_cell_length_a 3.944
_cell_length_b 3.944
_cell_length_c 4.094
_cell_angle_alpha 90.00
_cell_angle_beta 90.00
_cell_angle_gamma 90.00
loop_
_atom_site_label
_atom_site_fract_x
_atom_site_fract_y
_atom_site_fract_z
_atom_site_occupancy
Co1 0.000 0.500 0.000 1
Sn1 0.000 0.000 0.500 1
B1 0.500 0.500 0.000 1
Ir1 0.500 0.500 0.500 1
# V (Å³/atom): 12.74
# M_tot (μB/f.u.): 0.00
# ΔH_f (0 K) (meV per atom): -91.7


# SrCoB2Ir (PBE-GGA, optimized geometry)
data_SrCoB2Ir
_chemical_formula_sum 'Sr2 Co2 B4 Ir2'
_symmetry_space_group_name_H-M 'I -4 m 2'
_symmetry_Int_Tables_number 119
_symmetry_space_group_name_Hall 'I -4 -2'
_cell_length_a 3.785
_cell_length_b 3.785
_cell_length_c 10.691
_cell_angle_alpha 90.00
_cell_angle_beta 90.00
_cell_angle_gamma 90.00
loop_
_atom_site_label
_atom_site_fract_x
_atom_site_fract_y
_atom_site_fract_z
_atom_site_occupancy
Sr1 0.000 0.000 0.000 1
Co1 0.000 0.500 0.250 1
B1 0.000 0.000 0.326 1
Ir1 0.000 0.500 0.750 1
# V (Å³/atom): 15.32
# M_tot (μB/f.u.): 0.00
# ΔH_f (0 K) (meV per atom): -435.2


# CoTcB2Ir (PBE-GGA, optimized geometry)
data_CoTcB2Ir
_chemical_formula_sum 'Co1 Tc1 B2 Ir1'
_symmetry_space_group_name_H-M 'P 4/m m m'
_symmetry_Int_Tables_number 123
_symmetry_space_group_name_Hall '-P 4 2'
_cell_length_a 3.961
_cell_length_b 3.961
_cell_length_c 4.752
_cell_angle_alpha 90.00
_cell_angle_beta 90.00
_cell_angle_gamma 90.00
loop_
_atom_site_label
_atom_site_fract_x
_atom_site_fract_y
_atom_site_fract_z
_atom_site_occupancy
Co1 0.000 0.000 0.000 1
Tc1 0.500 0.500 0.000 1
B1 0.000 0.500 0.500 1
Ir1 0.000 0.000 0.500 1
# V (Å³/atom): 14.91
# M_tot (μB/f.u.): 5.16
# ΔH_f (0 K) (meV per atom): 1248.4


# YCo2BIr (PBE-GGA, optimized geometry)
data_YCo2BIr
_chemical_formula_sum 'Y1 Co2 B1 Ir1'
_symmetry_space_group_name_H-M 'P 4/m m m'
_symmetry_Int_Tables_number 123
_symmetry_space_group_name_Hall '-P 4 2'
_cell_length_a 4.040
_cell_length_b 4.040
_cell_length_c 4.143
_cell_angle_alpha 90.00
_cell_angle_beta 90.00
_cell_angle_gamma 90.00
loop_
_atom_site_label
_atom_site_fract_x
_atom_site_fract_y
_atom_site_fract_z
_atom_site_occupancy
Y1 0.000 0.000 0.000 1
Co1 0.000 0.500 0.500 1
B1 0.500 0.500 0.500 1
Ir1 0.500 0.500 0.000 1
# V (Å³/atom): 13.53
# M_tot (μB/f.u.): 0.96
# ΔH_f (0 K) (meV per atom): -426.1